# Zr2PtBr

An optimized crystal structure of Zr2PtBr (GGA-PBE, Alexandria via LeMat-Bulk).

Computed properties:
energy above the lowest structure with this stoichiometry	337	meV/atom
total magnetization	0.0	μB per formula unit
density of states at the Fermi level	3.7	states/eV per cell
ΔE_f (raw)	-0.39	eV/atom

Unit cell a=5.9375 b=5.9375 c=5.9375 alpha=148.61 beta=131.34 gamma=59.06
Fractional positions:
Zr 0.0000 0.0000 0.0000
Zr 0.7292 0.2292 0.5000
Pt 0.4942 0.4942 0.0000
Br 0.2264 0.7264 0.5000

# ZrPtBr2

An optimized crystal structure of ZrPtBr2 (GGA-PBE, Alexandria via LeMat-Bulk).

Computed properties:
energy above the lowest structure with this stoichiometry	655	meV/atom
total magnetization	0.0	μB per formula unit
density of states at the Fermi level	2.8	states/eV per cell
ΔE_f (raw)	-0.29	eV/atom

Unit cell a=9.1197 b=9.1197 c=9.1197 alpha=21.40 beta=21.40 gamma=21.40
Fractional positions:
Zr 0.0000 0.0000 0.0000
Pt 0.5000 0.5000 0.5000
Br 0.4065 0.4065 0.4065
Br 0.5935 0.5935 0.5935

# ZrPtBr2

An optimized crystal structure of ZrPtBr2 (GGA-PBE, Alexandria via LeMat-Bulk).

Computed properties:
energy above the lowest structure with this stoichiometry	837	meV/atom
total magnetization	0.0	μB per formula unit
density of states at the Fermi level	1.2	states/eV per cell
ΔE_f (raw)	-0.10	eV/atom

Unit cell a=3.4652 b=3.4652 c=6.5705 alpha=90.00 beta=90.00 gamma=90.00
Fractional positions:
Zr 0.0000 0.0000 0.0000
Pt 0.0000 0.0000 0.5000
Br 0.5000 0.5000 0.2356
Br 0.5000 0.5000 0.7644

# ZrPt4Br

An optimized crystal structure of ZrPt4Br (GGA-PBE, Alexandria via LeMat-Bulk).

Computed properties:
total magnetization	0.0	μB per formula unit
density of states at the Fermi level	1.6	states/eV per cell
ΔE_f (raw)	-0.30	eV/atom

Unit cell a=5.3637 b=5.3637 c=5.3637 alpha=60.00 beta=60.00 gamma=60.00
Fractional positions:
Zr 0.0000 0.0000 0.0000
Pt 0.3746 0.3746 0.3746
Pt 0.3746 0.3746 0.8763
Pt 0.3746 0.8763 0.3746
Pt 0.8763 0.3746 0.3746
Br 0.7500 0.7500 0.7500

# ZrPt2Br

An optimized crystal structure of ZrPt2Br (GGA-PBE, Alexandria via LeMat-Bulk).

Computed properties:
energy above the lowest structure with this stoichiometry	164	meV/atom
total magnetization	0.0	μB per formula unit
density of states at the Fermi level	3.1	states/eV per cell
ΔE_f (raw)	-0.37	eV/atom

Unit cell a=8.1483 b=8.1483 c=8.1483 alpha=24.98 beta=24.98 gamma=24.98
Fractional positions:
Zr 0.0000 0.0000 0.0000
Pt 0.2580 0.2580 0.2580
Pt 0.7420 0.7420 0.7420
Br 0.5000 0.5000 0.5000

# ZrPt2Br

An optimized crystal structure of ZrPt2Br (GGA-PBE, Alexandria via LeMat-Bulk).

Computed properties:
energy above the lowest structure with this stoichiometry	254	meV/atom
total magnetization	0.0	μB per formula unit
density of states at the Fermi level	3.1	states/eV per cell
ΔE_f (raw)	-0.28	eV/atom

Unit cell a=4.7019 b=4.7019 c=4.7019 alpha=60.00 beta=60.00 gamma=60.00
Fractional positions:
Zr 0.0000 0.0000 0.0000
Pt 0.2500 0.2500 0.2500
Pt 0.5000 0.5000 0.5000
Br 0.7500 0.7500 0.7500

# Pu4Br

An optimized crystal structure of Pu4Br (GGA-PBE, Alexandria via LeMat-Bulk).

Computed properties:
total magnetization	25.6	μB per formula unit
density of states at the Fermi level	37.9	states/eV per cell
ΔE_f (raw)	0.39	eV/atom

Unit cell a=5.5320 b=5.5320 c=5.5320 alpha=90.00 beta=90.00 gamma=90.00
Fractional positions:
Pu 0.0000 0.0000 0.0000
Pu 0.0000 0.5000 0.5000
Pu 0.5000 0.0000 0.5000
Pu 0.5000 0.5000 0.0000
Br 0.5000 0.5000 0.5000

# PuBr2

An optimized crystal structure of PuBr2 (GGA-PBE, Alexandria via LeMat-Bulk).

Computed properties:
total magnetization	6.0	μB per formula unit
density of states at the Fermi level	19.0	states/eV per cell
ΔE_f (raw)	-1.44	eV/atom

Unit cell a=4.1224 b=4.1224 c=14.1913 alpha=90.00 beta=90.00 gamma=119.97
Fractional positions:
Pu 0.1741 0.8259 0.5000
Pu 0.8259 0.1741 0.0000
Br 0.1594 0.8406 0.1245
Br 0.4925 0.5075 0.8756
Br 0.5075 0.4925 0.3756
Br 0.8406 0.1594 0.6245

> Which of these has the highest ΔE_f (raw)?

Pu4Br